# 1
Entry from Alexandria via LeMat-Bulk: an optimized crystal structure of Ta2NbCu (GGA-PBE).

Density of states at the Fermi level in states/eV per atom: 1.067
Total magnetic moment in μB/atom: 0.000
E_tot in eV for the cell shown: -37.58
Energy relative to the elements in meV/atom: 72

Cell: 3.3407 3.3407 6.0229 Å, 90.00 90.00 90.00°
Space group P4/mmm (No. 123)
Symmetry-distinct sites (fractional):
Ta (0.0000, 0.0000, 0.2445) x2
Nb (0.5000, 0.5000, 0.5000) x1
Cu (0.5000, 0.5000, 0.0000) x1


# 2
Entry from Alexandria via LeMat-Bulk: an optimized crystal structure of Sb2PbCl (GGA-PBE).

Density of states at the Fermi level in states/eV per atom: 0.360
Total magnetic moment in μB/atom: 0.000
Formation energy (no corrections) in eV/atom: -0.23
E_tot in eV for the cell shown: -29.45
E above lowest polymorph in eV/atom: 0.0117

Cell: 9.3800 4.1208 7.8041 Å, 90.00 109.61 90.00°
Space group Cm (No. 8)
Symmetry-distinct sites (fractional):
Sb (0.0000, 0.0000, 0.0000) x2
Sb (0.2202, 0.5000, 0.1490) x2
Pb (0.1845, 0.0000, 0.7405) x2
Cl (0.0028, 0.5000, 0.5261) x2


# 3
Entry from Alexandria via LeMat-Bulk: an optimized crystal structure of AcDy2SbN4 (GGA-PBE).

Density of states at the Fermi level in states/eV per atom: 0.391
Total magnetic moment in μB/atom: 0.000
Formation energy (no corrections) in eV/atom: -0.75
E_tot in eV for the cell shown: -226.89

Cell: 3.8016 12.0269 11.8669 Å, 90.00 90.00 90.00°
Space group Cmcm (No. 63)
Symmetry-distinct sites (fractional):
Ac (0.0000, 0.1009, 0.2500) x4
Dy (0.0000, 0.3728, 0.0392) x8
Sb (0.0000, 0.1583, 0.7500) x4
N (0.0000, 0.0000, 0.0000) x4
N (0.0000, 0.2758, 0.6230) x8
N (0.0000, 0.4221, 0.2500) x4


# 4
Entry from Alexandria via LeMat-Bulk: an optimized crystal structure of Th2ReSn (GGA-PBE).

Density of states at the Fermi level in states/eV per atom: 0.563
Total magnetic moment in μB/atom: 0.000
E_tot in eV for the cell shown: -32.19
Energy relative to the elements in meV/atom: -224
E above lowest polymorph in eV/atom: 0.0000

Cell: 3.4732 3.4732 8.6687 Å, 90.00 90.00 90.00°
Space group P4/mmm (No. 123)
Symmetry-distinct sites (fractional):
Th (0.0000, 0.0000, 0.2083) x2
Re (0.5000, 0.5000, 0.0000) x1
Sn (0.5000, 0.5000, 0.5000) x1


# 5
Entry from Alexandria via LeMat-Bulk: an optimized crystal structure of AcCePr2 (GGA-PBE).

Density of states at the Fermi level in states/eV per atom: 2.482
Total magnetic moment in μB/atom: 0.254
E_tot in eV for the cell shown: -19.20
Energy relative to the elements in meV/atom: 101
E above lowest polymorph in eV/atom: 0.0040

Cell: 5.2618 5.2618 5.2798 Å, 90.00 90.00 90.00°
Space group P4/mmm (No. 123)
Symmetry-distinct sites (fractional):
Ac (0.0000, 0.0000, 0.0000) x1
Ce (0.5000, 0.5000, 0.0000) x1
Pr (0.0000, 0.5000, 0.5000) x2


# 6
Entry from Alexandria via LeMat-Bulk: an optimized crystal structure of GaAsS2 (GGA-PBE).

Density of states at the Fermi level in states/eV per atom: 0.595
Total magnetic moment in μB/atom: 0.000
Formation energy (no corrections) in eV/atom: 0.27
E_tot in eV for the cell shown: -59.39

Cell: 6.5431 6.5431 6.5431 Å, 90.00 90.00 90.00°
Space group Fm-3m (No. 225)
Symmetry-distinct sites (fractional):
Ga (0.0000, 0.0000, 0.0000) x4
As (0.0000, 0.0000, 0.5000) x4
S (0.2500, 0.2500, 0.2500) x8


# 7
Entry from Alexandria via LeMat-Bulk: an optimized crystal structure of Ti2Tc3Mo (GGA-PBE).

Density of states at the Fermi level in states/eV per atom: 0.719
Total magnetic moment in μB/atom: 0.000
E_tot in eV for the cell shown: -60.09
Energy relative to the elements in meV/atom: -395
E above lowest polymorph in eV/atom: 0.0147

Cell: 3.1122 3.1122 9.3357 Å, 90.00 90.00 90.00°
Space group P4/mmm (No. 123)
Symmetry-distinct sites (fractional):
Ti (0.0000, 0.0000, 0.1631) x2
Tc (0.5000, 0.5000, 0.0000) x1
Tc (0.5000, 0.5000, 0.3349) x2
Mo (0.0000, 0.0000, 0.5000) x1


# 8
Entry from Alexandria via LeMat-Bulk: an optimized crystal structure of RbCd2GePb (GGA-PBE).

Density of states at the Fermi level in states/eV per atom: 1.132
Total magnetic moment in μB/atom: 0.000
E_tot in eV for the cell shown: -9.37
Energy relative to the elements in meV/atom: 351

Cell: 6.0550 6.0550 5.4933 Å, 90.00 90.00 90.00°
Space group P4/mmm (No. 123)
Symmetry-distinct sites (fractional):
Rb (0.0000, 0.0000, 0.0000) x1
Cd (0.0000, 0.5000, 0.5000) x2
Ge (0.5000, 0.5000, 0.0000) x1
Pb (0.5000, 0.5000, 0.5000) x1